1.
La6CS2Cl3, optimized geometry, DFT PBE; V = 25.157 Å³/atom; formation energy from raw total energies = -1.615 eV per atom
1.0
-5.994 2.084 3.161
0.551 -6.605 -2.517
4.283 -0.626 5.894
La C S Cl
6 1 2 3
Direct
0.930 0.621 0.789 La
0.764 0.764 0.217 La
0.070 0.379 0.211 La
0.621 0.930 0.789 La
0.236 0.236 0.783 La
0.379 0.070 0.211 La
0.000 0.000 0.000 C
0.334 0.666 0.000 S
0.666 0.334 0.000 S
0.173 0.827 0.500 Cl
0.827 0.173 0.500 Cl
0.500 0.500 0.500 Cl

***

2.
MgSbPtO6, optimized geometry, DFT PBE; V = 11.806 Å³/atom; formation energy from raw total energies = -1.294 eV per atom
1.0
5.236 0.000 0.000
-2.618 4.535 0.000
0.000 0.000 8.950
Mg Sb Pt O
2 2 2 12
Direct
0.000 0.000 0.000 Mg
0.000 0.000 0.500 Mg
0.667 0.333 0.250 Sb
0.333 0.667 0.750 Sb
0.333 0.667 0.250 Pt
0.667 0.333 0.750 Pt
0.651 0.653 0.131 O
0.002 0.349 0.131 O
0.349 0.002 0.631 O
0.998 0.651 0.869 O
0.347 0.349 0.369 O
0.002 0.653 0.369 O
0.653 0.002 0.869 O
0.651 0.998 0.369 O
0.998 0.347 0.631 O
0.347 0.998 0.131 O
0.653 0.651 0.631 O
0.349 0.347 0.869 O

***

3.
Ho5Er6Th, optimized geometry, DFT PBE; V = 30.927 Å³/atom; ΔE_f = 27 meV/atom
1.0
-2.850 -8.555 -2.384
9.013 0.573 -2.330
-0.095 0.094 4.979
Ho Th Er
5 1 6
Direct
0.834 0.166 0.500 Ho
0.667 0.333 0.000 Ho
0.500 0.500 0.500 Ho
0.333 0.667 0.000 Ho
0.166 0.834 0.500 Ho
0.000 0.000 0.000 Th
0.415 0.084 0.249 Er
0.916 0.585 0.751 Er
0.248 0.248 0.748 Er
0.752 0.752 0.252 Er
0.084 0.415 0.249 Er
0.585 0.916 0.751 Er

***

4.
Na3RhF6, optimized geometry, DFT PBE; offset from the most stable computed form = 0.0 kJ per mole of atoms; V = 13.677 Å³/atom; formation energy from raw total energies = -2.320 eV per atom
1.0
5.685 0.041 0.029
2.758 5.066 -0.004
2.758 1.689 4.776
Na Rh F
3 1 6
Direct
0.288 0.249 0.249 Na
0.712 0.751 0.751 Na
0.000 0.000 0.000 Na
0.500 0.500 0.500 Rh
0.343 0.186 0.665 F
0.657 0.335 0.814 F
0.657 0.814 0.335 F
0.343 0.665 0.186 F
0.137 0.725 0.725 F
0.863 0.275 0.275 F